EuCrSnBiO6 | PBE+U | relaxed

Cell: 8.0251 8.0251 8.0251 Å, 90.00 90.00 90.00°
With the nearest neighbours (Å) after each atom.
Space group F-43m (No. 216)
One atom of each set of equivalent atoms:
1 Eu 0.0000 0.0000 0.0000 [4 per cell]  12 O 2.84
2 Cr 0.2500 0.2500 0.7500 [4 per cell]  6 O 1.98
3 Sn 0.2500 0.2500 0.2500 [4 per cell]  6 O 2.04
4 Bi 0.0000 0.0000 0.5000 [4 per cell]  12 O 2.84
5 O 0.0037 0.2500 0.7500 [24 per cell]  1 Cr 1.98, 1 Sn 2.04

Output
Mass density (Mg/m³): 8.07
Size of the total moment (μB/cell): 38.7
Raw total energy (eV/atom): -7.2914
D(E_F) (states/eV/cell): 56.56